{
  "formula": "Pm3PbBr3",
  "functional": "PBE",
  "state": "relaxed",
  "raw_formation_energy_kj_per_mol_fu": -810,
  "spacegroup": "No. 148",
  "magnetic_moment_mub_per_fu": 0.301,
  "lattice": [[3.6647, 2.1158, 10.9439], [-3.6647, 2.1158, 10.9439], [0.0000, -4.2316, 10.9439]],
  "species": ["Pm", "Pm", "Pm", "Pm", "Pm", "Pm", "Pb", "Pb", "Br", "Br", "Br", "Br", "Br", "Br"],
  "fractional_positions": [[0.0565, 0.3770, 0.7359], [0.2641, 0.9435, 0.6230], [0.3770, 0.7359, 0.0565], [0.6230, 0.2641, 0.9435], [0.7359, 0.0565, 0.3770], [0.9435, 0.6230, 0.2641], [0.3333, 0.3333, 0.3333], [0.6667, 0.6667, 0.6667], [0.1104, 0.7642, 0.4569], [0.2358, 0.5431, 0.8896], [0.4569, 0.1104, 0.7642], [0.5431, 0.8896, 0.2358], [0.7642, 0.4569, 0.1104], [0.8896, 0.2358, 0.5431]]
}

=====

{
  "formula": "BaF2",
  "functional": "PBE",
  "state": "relaxed",
  "polymorph_energy_ev_per_fu": 0.12,
  "raw_formation_energy_kj_per_mol_fu": -1112,
  "spacegroup": "No. 62",
  "magnetic_moment_mub_per_fu": 0.000,
  "lattice": [[6.8223, 0.0000, 0.0000], [0.0000, 4.1150, 0.0000], [0.0000, 0.0000, 8.0218]],
  "species": ["Ba", "Ba", "Ba", "Ba", "F", "F", "F", "F", "F", "F", "F", "F"],
  "fractional_positions": [[0.2491, 0.2500, 0.1128], [0.2509, 0.7500, 0.6128], [0.7491, 0.2500, 0.3872], [0.7509, 0.7500, 0.8872], [0.0254, 0.7500, 0.3343], [0.1411, 0.7500, 0.9284], [0.3589, 0.2500, 0.4284], [0.4746, 0.2500, 0.8343], [0.5254, 0.7500, 0.1657], [0.6411, 0.7500, 0.5716], [0.8589, 0.2500, 0.0716], [0.9746, 0.2500, 0.6657]]
}

=====

{
  "formula": "La2ThRh",
  "functional": "PBE",
  "state": "relaxed",
  "e_form_ev_per_atom": -0.06,
  "polymorph_energy_ev_per_fu": 1.53,
  "spacegroup": "No. 166",
  "magnetic_moment_mub_per_fu": 0.001,
  "lattice": [[1.8664, 1.0776, 10.7989], [-1.8664, 1.0776, 10.7989], [0.0000, -2.1551, 10.7989]],
  "species": ["La", "La", "Th", "Rh"],
  "fractional_positions": [[0.1097, 0.1097, 0.1097], [0.8903, 0.8903, 0.8903], [0.0000, 0.0000, 0.0000], [0.5000, 0.5000, 0.5000]]
}

=====

Number 1: density of states at the Fermi level 6.56 states/eV/cell. Number 2: density of states at the Fermi level 0.00 states/eV/cell. Number 3: density of states at the Fermi level 5.92 states/eV/cell.